An optimized crystal structure of ThCuSb. Source: the Alexandria database, functional PBE-GGA.

a = 4.9637 Å, b = 6.0439 Å, c = 6.0440 Å
α = 68.87°, β = 65.75°, γ = 65.75°
Sites, in units of the cell vectors:
Th1 0.9608 0.7679 0.9547
Th2 0.4608 0.2679 0.4547
Cu1 0.4607 0.2677 0.9548
Cu2 0.9607 0.2677 0.9548
Sb1 0.2108 0.9270 0.2956
Sb2 0.7108 0.6086 0.6140

raw total energy = -5.5664 eV/atom
Fermi-level density of states = 5.41 states/eV per cell

***

An optimized crystal structure of PaHgSb. Source: the Alexandria database, functional PBE-GGA.

a = 3.8883 Å, b = 3.8883 Å, c = 5.8156 Å
α = 109.53°, β = 109.53°, γ = 90.00°
Site moments in Bohr magnetons follow the coordinates.
Sites, in units of the cell vectors:
Sb1 0.6657 0.6657 0.3314  -0.03
Pa1 0.0037 0.0037 0.0074  0.94
Hg1 0.3306 0.3306 0.6612  0.03

raw total energy = -4.7087 eV/atom
Fermi-level density of states = 6.03 states/eV per cell
E above lowest polymorph = 0.196 eV/atom

***

An optimized crystal structure of SrCa2Cu. Source: the Alexandria database, functional PBE-GGA.

a = 10.4297 Å, b = 10.4297 Å, c = 10.4297 Å
α = 23.10°, β = 23.10°, γ = 23.10°
Sites, in units of the cell vectors:
Sr1 0.7500 0.7500 0.7500
Ca1 0.9701 0.9701 0.9701
Ca2 0.5299 0.5299 0.5299
Cu1 0.2500 0.2500 0.2500

raw total energy = -2.4231 eV/atom
Fermi-level density of states = 4.02 states/eV per cell
calculated formation energy = 0.5 kcal/mol of atoms
E above lowest polymorph = 0.068 eV/atom

***

An optimized crystal structure of Cr2AgSb. Source: the Alexandria database, functional PBE-GGA.

a = 4.3723 Å, b = 4.3693 Å, c = 3.8208 Å
α = 90.00°, β = 90.00°, γ = 90.00°
Site moments in Bohr magnetons follow the coordinates.
Sites, in units of the cell vectors:
Ag1 0.0000 0.5000 0.5000  0.05
Cr1 0.0000 0.0000 0.0000  3.51
Cr2 0.5000 0.5000 0.0000  3.51
Sb1 0.5000 0.0000 0.5000  -0.14

raw total energy = -6.1672 eV/atom
Fermi-level density of states = 1.96 states/eV per cell

***

An optimized crystal structure of NaBi3Pb7. Source: the Alexandria database, functional PBE-GGA.

a = 8.4256 Å, b = 7.0218 Å, c = 7.0218 Å
α = 120.00°, β = 90.00°, γ = 90.00°
Sites, in units of the cell vectors:
Na1 0.4417 0.3333 0.6667
Bi1 0.7807 0.4972 0.5028
Bi2 0.7807 0.4972 0.9945
Bi3 0.7807 0.0055 0.5028
Pb1 0.1057 0.1639 0.8361
Pb2 0.1057 0.1639 0.3278
Pb3 0.1256 0.6667 0.3333
Pb4 0.4629 0.8350 0.1650
Pb5 0.4629 0.3301 0.1650
Pb6 0.4629 0.8350 0.6699
Pb7 0.1057 0.6722 0.8361

raw total energy = -3.5421 eV/atom
Fermi-level density of states = 4.50 states/eV per cell
calculated formation energy = -0.1 kcal/mol of atoms

***

An optimized crystal structure of Na2CeBeO4. Source: the Alexandria database, functional PBE-GGA.

a = 5.0894 Å, b = 6.6814 Å, c = 6.3647 Å
α = 90.00°, β = 90.00°, γ = 90.00°
Sites, in units of the cell vectors:
Na1 0.4719 0.3651 0.2607
Na2 0.4719 0.3651 0.7393
Na3 0.9719 0.6349 0.7607
Na4 0.9719 0.6349 0.2393
Ce1 0.9734 0.1029 0.5000
Ce2 0.4734 0.8971 0.0000
Be1 0.5042 0.8186 0.5000
Be2 0.0042 0.1814 0.0000
O1 0.3274 0.1831 0.0000
O2 0.8274 0.8169 0.5000
O3 0.4189 0.0693 0.5000
O4 0.9189 0.9307 0.0000
O5 0.4161 0.7074 0.7267
O6 0.9161 0.2926 0.2267
O7 0.9161 0.2926 0.7733
O8 0.4161 0.7074 0.2733

raw total energy = -6.3994 eV/atom
Fermi-level density of states = 0.00 states/eV per cell